! PBE with a Hubbard U TaCrNF2, optimized geometry; values from VASP
! - VASP energy: -0.547 Ry per atom
! - Mass density: 6.7 g cm⁻³
! - Symmetry: P4/mmm
&SYSTEM
  ibrav = 0, nat = 5, ntyp = 4
/
ATOMIC_SPECIES
Ta 180.95 Ta.upf
Cr 52.00 Cr.upf
N 14.01 N.upf
F 19.00 F.upf
ATOMIC_POSITIONS crystal
Ta 0.000 0.000 0.000
Cr 0.500 0.500 0.500
N 0.000 0.000 0.500
F 0.000 0.500 0.000
F 0.500 0.000 0.000
CELL_PARAMETERS angstrom
4.191 0.000 0.000
0.000 4.191 0.000
0.000 0.000 4.028